LaPuPdRh after structural relaxation. Source: the Alexandria database, functional GGA-PBE.

Output
symmetry = F-43m (216)
magnetic moment = 5.41 μB/cell
offset from the most stable computed form = 70 meV/atom

abc: 5.0273 5.0273 5.0273
angles: 60.00 60.00 60.00
With the nearest neighbours (Å) after each atom.
Positions (direct):
La 0.0000 0.0000 0.0000  4 Pd 3.08, 4 Rh 3.08
Pu 0.5000 0.5000 0.5000  4 Rh 3.08, 4 Pd 3.08
Pd 0.7500 0.7500 0.7500  4 Pu 3.08, 4 La 3.08
Rh 0.2500 0.2500 0.2500  4 Pu 3.08, 4 La 3.08